Record 1
## BaTlPt2 (PBE)

Data for crystalline BaTlPt2 at its relaxed geometry.

Summary:
magnetization	0.00	μB/atom
N(E_F)	0.87	states/eV per atom
calculated formation energy	-0.479	eV/atom

Cell lengths 6.655, 6.655, 6.655 Å; angles 40.37, 40.37, 40.37 degrees
Element x y z (fractional)
Ba1 0.000 0.000 0.000
Tl1 0.196 0.196 0.196
Pt1 0.451 0.451 0.451
Pt2 0.783 0.783 0.783



Record 2
## BaTlPt2 (PBE)

Data for crystalline BaTlPt2 at its relaxed geometry.

Summary:
magnetization	0.00	μB/atom
N(E_F)	0.34	states/eV per atom
calculated formation energy	-0.321	eV/atom

Cell lengths 10.014, 10.014, 10.014 Å; angles 149.71, 149.71, 43.37 degrees
Element x y z (fractional)
Ba1 0.000 0.000 0.000
Ba2 0.750 0.250 0.500
Tl1 0.250 0.750 0.500
Tl2 0.500 0.500 0.000
Pt1 0.338 0.625 0.213
Pt2 0.375 0.588 0.713
Pt3 0.412 0.125 0.787
Pt4 0.875 0.662 0.287



Record 3
## Ba2TlPt (PBE)

Data for crystalline Ba2TlPt at its relaxed geometry.

Summary:
magnetization	0.00	μB/atom
energy relative to the lowest polymorph listed for this composition	21	meV per atom
N(E_F)	0.88	states/eV per atom
calculated formation energy	-0.491	eV/atom

Cell lengths 4.512, 4.512, 9.418 Å; angles 103.91, 103.91, 60.09 degrees
Element x y z (fractional)
Ba1 0.233 0.233 0.198
Ba2 0.767 0.767 0.802
Tl1 0.000 0.000 0.500
Pt1 0.500 0.500 0.000



Record 4
## BaTl2Pt (PBE)

Data for crystalline BaTl2Pt at its relaxed geometry.

Summary:
magnetization	0.00	μB/atom
N(E_F)	0.45	states/eV per atom
calculated formation energy	-0.360	eV/atom

Cell lengths 4.852, 4.055, 6.785 Å; angles 90.00, 110.88, 90.00 degrees
Element x y z (fractional)
Ba1 0.000 0.000 0.000
Tl1 0.289 0.000 0.581
Tl2 0.684 0.500 0.368
Pt1 0.457 0.500 0.914



Record 5
## BaTl2Pt (PBE)

Data for crystalline BaTl2Pt at its relaxed geometry.

Summary:
magnetization	0.00	μB/atom
N(E_F)	0.54	states/eV per atom
calculated formation energy	-0.236	eV/atom

Cell lengths 3.844, 3.844, 7.913 Å; angles 90.00, 90.00, 90.00 degrees
Element x y z (fractional)
Ba1 0.000 0.000 0.000
Tl1 0.000 0.000 0.418
Tl2 0.500 0.500 0.661
Pt1 0.500 0.500 0.250



Record 6
## BaTlPt2 (PBE)

Data for crystalline BaTlPt2 at its relaxed geometry.

Summary:
magnetization	0.00	μB/atom
N(E_F)	0.61	states/eV per atom
calculated formation energy	-0.044	eV/atom

Cell lengths 5.176, 5.176, 5.176 Å; angles 60.00, 60.00, 60.00 degrees
Element x y z (fractional)
Ba1 0.000 0.000 0.000
Tl1 0.750 0.750 0.750
Pt1 0.250 0.250 0.250
Pt2 0.500 0.500 0.500



Record 7
## Ba4TlPt (PBE)

Data for crystalline Ba4TlPt at its relaxed geometry.

Summary:
magnetization	0.11	μB/atom
energy relative to the lowest polymorph listed for this composition	893	meV per atom
N(E_F)	1.42	states/eV per atom
calculated formation energy	0.468	eV/atom

Cell lengths 6.994, 6.994, 6.994 Å; angles 60.00, 60.00, 60.00 degrees
Element x y z (fractional)
Ba1 0.124 0.124 0.124
Ba2 0.124 0.124 0.627
Ba3 0.124 0.627 0.124
Ba4 0.627 0.124 0.124
Tl1 0.500 0.500 0.500
Pt1 0.750 0.750 0.750



Record 8
## Ba6Tl3Pt (PBE)

Data for crystalline Ba6Tl3Pt at its relaxed geometry.

Summary:
magnetization	0.00	μB/atom
N(E_F)	1.14	states/eV per atom
calculated formation energy	-0.369	eV/atom

Cell lengths 8.438, 9.425, 13.422 Å; angles 90.00, 119.55, 90.00 degrees
Element x y z (fractional)
Ba1 0.080 0.052 0.247
Ba2 0.080 0.448 0.747
Ba3 0.214 0.702 0.071
Ba4 0.214 0.798 0.571
Ba5 0.369 0.156 0.058
Ba6 0.369 0.344 0.558
Ba7 0.631 0.656 0.442
Ba8 0.631 0.844 0.942
Ba9 0.786 0.202 0.429
Ba10 0.786 0.298 0.929
Ba11 0.920 0.552 0.253
Ba12 0.920 0.948 0.753
Tl1 0.313 0.116 0.756
Tl2 0.313 0.384 0.256
Tl3 0.500 0.000 0.500
Tl4 0.500 0.500 0.000
Tl5 0.687 0.616 0.744
Tl6 0.687 0.884 0.244
Pt1 0.000 0.000 0.000
Pt2 0.000 0.500 0.500



Record 9
## BaTl2Pt (PBE)

Data for crystalline BaTl2Pt at its relaxed geometry.

Summary:
magnetization	0.00	μB/atom
N(E_F)	0.80	states/eV per atom
calculated formation energy	-0.335	eV/atom

Cell lengths 6.363, 6.363, 5.732 Å; angles 116.61, 116.61, 35.12 degrees
Element x y z (fractional)
Ba1 0.000 0.000 0.000
Tl1 0.202 0.202 0.701
Tl2 0.798 0.798 0.299
Pt1 0.500 0.500 0.500



Record 10
## Ba6TlPt (PBE)

Data for crystalline Ba6TlPt at its relaxed geometry.

Summary:
magnetization	0.00	μB/atom
energy relative to the lowest polymorph listed for this composition	0	meV per atom
N(E_F)	1.05	states/eV per atom
calculated formation energy	-0.311	eV/atom

Cell lengths 9.010, 9.010, 9.010 Å; angles 53.61, 53.61, 53.61 degrees
Element x y z (fractional)
Ba1 0.097 0.724 0.438
Ba2 0.276 0.562 0.903
Ba3 0.438 0.097 0.724
Ba4 0.562 0.903 0.276
Ba5 0.724 0.438 0.097
Ba6 0.903 0.276 0.562
Tl1 0.000 0.000 0.000
Pt1 0.500 0.500 0.500



Record 11
## Ba2TlPt (PBE)

Data for crystalline Ba2TlPt at its relaxed geometry.

Summary:
magnetization	0.00	μB/atom
energy relative to the lowest polymorph listed for this composition	123	meV per atom
N(E_F)	1.26	states/eV per atom
calculated formation energy	-0.390	eV/atom

Cell lengths 5.748, 5.748, 5.748 Å; angles 60.00, 60.00, 60.00 degrees
Element x y z (fractional)
Ba1 0.250 0.250 0.250
Ba2 0.750 0.750 0.750
Tl1 0.000 0.000 0.000
Pt1 0.500 0.500 0.500



Record 12
## Ba4TlPt (PBE)

Data for crystalline Ba4TlPt at its relaxed geometry.

Summary:
magnetization	0.00	μB/atom
energy relative to the lowest polymorph listed for this composition	0	meV per atom
N(E_F)	0.91	states/eV per atom
calculated formation energy	-0.425	eV/atom

Cell lengths 10.051, 10.051, 7.952 Å; angles 107.69, 107.69, 117.68 degrees
Element x y z (fractional)
Ba1 0.066 0.652 0.865
Ba2 0.212 0.281 0.732
Ba3 0.281 0.212 0.232
Ba4 0.348 0.934 0.635
Ba5 0.652 0.066 0.365
Ba6 0.719 0.788 0.768
Ba7 0.788 0.719 0.268
Ba8 0.934 0.348 0.135
Tl1 0.371 0.629 0.250
Tl2 0.629 0.371 0.750
Pt1 0.074 0.926 0.750
Pt2 0.926 0.074 0.250